No. 1
Compound: CuH3Se
Source: the Alexandria database
Functional: PBE
Structure: relaxed

Unit cell a=3.7193 b=3.7193 c=3.7193 alpha=90.00 beta=90.00 gamma=90.00
Atoms (fractional coordinates):
Cu: 0.0000 0.0000 0.0000
H: 0.0000 0.5000 0.5000
H: 0.5000 0.0000 0.5000
H: 0.5000 0.5000 0.0000
Se: 0.5000 0.5000 0.5000

## Properties
- total magnetic moment (μB/f.u.) = 0.00
- raw total energy (eV/atom) = -2.654
- crystal system = cubic
- relative energy among the computed polymorphs (kJ per mole of atoms) = 10.6

---

No. 2
Compound: CuH4Se
Source: the Alexandria database
Functional: PBE
Structure: relaxed

Unit cell a=8.9159 b=8.9159 c=3.8602 alpha=102.11 beta=102.11 gamma=144.63
Atoms (fractional coordinates):
Cu: 0.1233 0.8767 0.7500
Cu: 0.8767 0.1233 0.2500
H: 0.0346 0.4048 0.6910
H: 0.1567 0.2799 0.6930
H: 0.2799 0.1567 0.1930
H: 0.4048 0.0346 0.1910
H: 0.5952 0.9654 0.8090
H: 0.7201 0.8433 0.8070
H: 0.8433 0.7201 0.3070
H: 0.9654 0.5952 0.3090
Se: 0.3765 0.6235 0.2500
Se: 0.6235 0.3765 0.7500

## Properties
- total magnetic moment (μB/f.u.) = 0.00
- raw total energy (eV/atom) = -3.012
- crystal system = monoclinic

---

No. 3
Compound: CuH2Se
Source: the Alexandria database
Functional: PBE
Structure: relaxed

Unit cell a=17.8007 b=4.3269 c=4.1718 alpha=90.00 beta=101.03 gamma=90.00
Atoms (fractional coordinates):
Cu: 0.0780 0.0000 0.1552
Cu: 0.4220 0.5000 0.8448
Cu: 0.5780 0.5000 0.1552
Cu: 0.9220 0.0000 0.8448
H: 0.2111 0.0000 0.7492
H: 0.2498 0.0000 0.7016
H: 0.2502 0.5000 0.2984
H: 0.2889 0.5000 0.2508
H: 0.7111 0.5000 0.7492
H: 0.7502 0.0000 0.2984
H: 0.7498 0.5000 0.7016
H: 0.7889 0.0000 0.2508
Se: 0.0686 0.5000 0.9753
Se: 0.4314 0.0000 0.0247
Se: 0.5686 0.0000 0.9753
Se: 0.9314 0.5000 0.0247

## Properties
- total magnetic moment (μB/f.u.) = 0.00
- raw total energy (eV/atom) = -3.444
- crystal system = monoclinic
- relative energy among the computed polymorphs (kJ per mole of atoms) = 0.0

---

No. 4
Compound: Cu2HSe
Source: the Alexandria database
Functional: PBE
Structure: relaxed

Unit cell a=4.5406 b=4.5406 c=10.3143 alpha=90.00 beta=90.00 gamma=90.00
Atoms (fractional coordinates):
Cu: 0.1246 0.2500 0.1250
Cu: 0.2500 0.6246 0.3750
Cu: 0.2500 0.8754 0.8750
Cu: 0.3754 0.2500 0.6250
Cu: 0.6246 0.7500 0.6250
Cu: 0.7500 0.1246 0.8750
Cu: 0.7500 0.3754 0.3750
Cu: 0.8754 0.7500 0.1250
H: 0.0000 0.0000 0.0000
H: 0.0000 0.5000 0.2500
H: 0.5000 0.0000 0.7500
H: 0.5000 0.5000 0.5000
Se: 0.0000 0.0000 0.5000
Se: 0.0000 0.5000 0.7500
Se: 0.5000 0.0000 0.2500
Se: 0.5000 0.5000 0.0000

## Properties
- total magnetic moment (μB/f.u.) = 0.00
- raw total energy (eV/atom) = -3.660
- crystal system = tetragonal
- relative energy among the computed polymorphs (kJ per mole of atoms) = 3.1

---

No. 5
Compound: CuH2Se
Source: the Alexandria database
Functional: PBE
Structure: relaxed

Unit cell a=5.3996 b=5.3996 c=5.3996 alpha=90.00 beta=90.00 gamma=90.00
Atoms (fractional coordinates):
Cu: 0.0000 0.0000 0.0000
Cu: 0.0000 0.5000 0.5000
Cu: 0.5000 0.0000 0.5000
Cu: 0.5000 0.5000 0.0000
H: 0.2500 0.2500 0.2500
H: 0.2500 0.2500 0.7500
H: 0.2500 0.7500 0.2500
H: 0.2500 0.7500 0.7500
H: 0.7500 0.2500 0.2500
H: 0.7500 0.2500 0.7500
H: 0.7500 0.7500 0.2500
H: 0.7500 0.7500 0.7500
Se: 0.0000 0.0000 0.5000
Se: 0.0000 0.5000 0.0000
Se: 0.5000 0.0000 0.0000
Se: 0.5000 0.5000 0.5000

## Properties
- total magnetic moment (μB/f.u.) = 0.00
- raw total energy (eV/atom) = -2.725
- crystal system = cubic
- relative energy among the computed polymorphs (kJ per mole of atoms) = 69.4

---

No. 6
Compound: Cu3HSe
Source: the Alexandria database
Functional: PBE
Structure: relaxed

Unit cell a=3.8959 b=3.8959 c=3.8959 alpha=90.00 beta=90.00 gamma=90.00
Atoms (fractional coordinates):
Cu: 0.0000 0.0000 0.5000
Cu: 0.0000 0.5000 0.0000
Cu: 0.5000 0.0000 0.0000
H: 0.0000 0.0000 0.0000
Se: 0.5000 0.5000 0.5000

## Properties
- total magnetic moment (μB/f.u.) = 0.00
- raw total energy (eV/atom) = -3.666
- crystal system = cubic
- relative energy among the computed polymorphs (kJ per mole of atoms) = 0.0

---

No. 7
Compound: Cu2HSe
Source: the Alexandria database
Functional: PBE
Structure: relaxed

Unit cell a=2.8334 b=6.1213 c=6.2108 alpha=99.73 beta=102.52 gamma=90.17
Atoms (fractional coordinates):
Cu: 0.0000 0.0000 0.0000
Cu: 0.2001 0.7784 0.3822
Cu: 0.4616 0.6320 0.9271
Cu: 0.7764 0.4615 0.5487
H: 0.0391 0.7548 0.0840
H: 0.3182 0.6138 0.6344
Se: 0.5696 0.3284 0.1461
Se: 0.8148 0.0687 0.6158

## Properties
- total magnetic moment (μB/f.u.) = 0.00
- raw total energy (eV/atom) = -3.691
- crystal system = triclinic
- relative energy among the computed polymorphs (kJ per mole of atoms) = 0.0

---

No. 8
Compound: Cu2HSe
Source: the Alexandria database
Functional: PBE
Structure: relaxed

Unit cell a=4.0170 b=4.0170 c=14.3841 alpha=90.00 beta=90.00 gamma=120.00
Atoms (fractional coordinates):
Cu: 0.0000 0.0000 0.1102
Cu: 0.0000 0.0000 0.8898
Cu: 0.3333 0.6667 0.5565
Cu: 0.3333 0.6667 0.7768
Cu: 0.6667 0.3333 0.2232
Cu: 0.6667 0.3333 0.4435
H: 0.0000 0.0000 0.0000
H: 0.3333 0.6667 0.6667
H: 0.6667 0.3333 0.3333
Se: 0.0000 0.0000 0.5000
Se: 0.3333 0.6667 0.1667
Se: 0.6667 0.3333 0.8333

## Properties
- total magnetic moment (μB/f.u.) = 0.00
- raw total energy (eV/atom) = -3.621
- crystal system = trigonal
- relative energy among the computed polymorphs (kJ per mole of atoms) = 6.8

---

No. 9
Compound: CuHSe3
Source: the Alexandria database
Functional: PBE
Structure: relaxed

Unit cell a=4.3172 b=4.3172 c=4.3172 alpha=90.00 beta=90.00 gamma=90.00
Atoms (fractional coordinates):
Cu: 0.0000 0.0000 0.0000
H: 0.5000 0.5000 0.5000
Se: 0.0000 0.5000 0.5000
Se: 0.5000 0.0000 0.5000
Se: 0.5000 0.5000 0.0000

## Properties
- total magnetic moment (μB/f.u.) = 0.00
- raw total energy (eV/atom) = -2.754
- crystal system = cubic
- relative energy among the computed polymorphs (kJ per mole of atoms) = 0.0

---

No. 10
Compound: CuHSe2
Source: the Alexandria database
Functional: PBE
Structure: relaxed

Unit cell a=3.7651 b=3.7651 c=18.2084 alpha=90.00 beta=90.00 gamma=120.00
Atoms (fractional coordinates):
Cu: 0.0000 0.0000 0.0000
Cu: 0.3333 0.6667 0.6667
Cu: 0.6667 0.3333 0.3333
H: 0.0000 0.0000 0.5000
H: 0.3333 0.6667 0.1667
H: 0.6667 0.3333 0.8333
Se: 0.0000 0.0000 0.4031
Se: 0.0000 0.0000 0.5969
Se: 0.3333 0.6667 0.0698
Se: 0.3333 0.6667 0.2635
Se: 0.6667 0.3333 0.7365
Se: 0.6667 0.3333 0.9302

## Properties
- total magnetic moment (μB/f.u.) = 0.00
- raw total energy (eV/atom) = -3.515
- crystal system = trigonal
- relative energy among the computed polymorphs (kJ per mole of atoms) = 7.7

---

No. 11
Compound: Cu2HSe
Source: the Alexandria database
Functional: PBE
Structure: relaxed

Unit cell a=5.8608 b=5.8608 c=5.8608 alpha=90.00 beta=90.00 gamma=90.00
Atoms (fractional coordinates):
Cu: 0.2500 0.2500 0.2500
Cu: 0.2500 0.2500 0.7500
Cu: 0.2500 0.7500 0.2500
Cu: 0.2500 0.7500 0.7500
Cu: 0.7500 0.2500 0.2500
Cu: 0.7500 0.2500 0.7500
Cu: 0.7500 0.7500 0.2500
Cu: 0.7500 0.7500 0.7500
H: 0.0000 0.0000 0.0000
H: 0.0000 0.5000 0.5000
H: 0.5000 0.0000 0.5000
H: 0.5000 0.5000 0.0000
Se: 0.0000 0.0000 0.5000
Se: 0.0000 0.5000 0.0000
Se: 0.5000 0.0000 0.0000
Se: 0.5000 0.5000 0.5000

## Properties
- total magnetic moment (μB/f.u.) = 0.00
- raw total energy (eV/atom) = -3.287
- crystal system = cubic
- relative energy among the computed polymorphs (kJ per mole of atoms) = 39.0

---

No. 12
Compound: CuHSe2
Source: the Alexandria database
Functional: PBE
Structure: relaxed

Unit cell a=6.1366 b=6.1366 c=6.1366 alpha=90.00 beta=90.00 gamma=90.00
Atoms (fractional coordinates):
Cu: 0.0000 0.0000 0.0000
Cu: 0.0000 0.5000 0.5000
Cu: 0.5000 0.0000 0.5000
Cu: 0.5000 0.5000 0.0000
H: 0.0000 0.0000 0.5000
H: 0.0000 0.5000 0.0000
H: 0.5000 0.0000 0.0000
H: 0.5000 0.5000 0.5000
Se: 0.2500 0.2500 0.2500
Se: 0.2500 0.2500 0.7500
Se: 0.2500 0.7500 0.2500
Se: 0.2500 0.7500 0.7500
Se: 0.7500 0.2500 0.2500
Se: 0.7500 0.2500 0.7500
Se: 0.7500 0.7500 0.2500
Se: 0.7500 0.7500 0.7500

## Properties
- total magnetic moment (μB/f.u.) = 0.00
- raw total energy (eV/atom) = -2.920
- crystal system = cubic
- relative energy among the computed polymorphs (kJ per mole of atoms) = 65.2

---

No. 13
Compound: TaCuHSe2
Source: the Alexandria database
Functional: PBE
Structure: relaxed

Unit cell a=4.6531 b=4.6531 c=3.2759 alpha=90.00 beta=90.00 gamma=90.00
Atoms (fractional coordinates):
Ta: 0.0000 0.0000 0.0000
Cu: 0.5000 0.5000 0.0000
H: 0.5000 0.5000 0.5000
Se: 0.0000 0.5000 0.5000
Se: 0.5000 0.0000 0.5000

## Properties
- total magnetic moment (μB/f.u.) = 0.00
- raw total energy (eV/atom) = -4.908
- crystal system = tetragonal

---

No. 14
Compound: Tl2CuHSe2
Source: the Alexandria database
Functional: PBE
Structure: relaxed

Unit cell a=9.4847 b=9.4847 c=9.4847 alpha=144.28 beta=48.98 gamma=147.61
Atoms (fractional coordinates):
Tl: 0.1688 0.2203 0.3891
Tl: 0.3312 0.7203 0.0515
Tl: 0.6688 0.2797 0.9485
Tl: 0.8312 0.7797 0.6109
Cu: 0.2500 0.2500 0.0000
Cu: 0.7500 0.7500 0.0000
H: 0.2500 0.7500 0.5000
H: 0.7500 0.2500 0.5000
Se: 0.0752 0.7118 0.7870
Se: 0.4248 0.2118 0.6366
Se: 0.5752 0.7882 0.3634
Se: 0.9248 0.2882 0.2130

## Properties
- total magnetic moment (μB/f.u.) = 0.00
- raw total energy (eV/atom) = -3.168
- crystal system = orthorhombic

---

No. 15
Compound: Zr2CuHSe
Source: the Alexandria database
Functional: PBE
Structure: relaxed

Unit cell a=4.1781 b=4.1781 c=4.6168 alpha=90.00 beta=90.00 gamma=90.00
Atoms (fractional coordinates):
Zr: 0.0000 0.5000 0.0000
Zr: 0.5000 0.0000 0.0000
Cu: 0.0000 0.0000 0.5000
H: 0.5000 0.5000 0.0000
Se: 0.5000 0.5000 0.5000

## Properties
- total magnetic moment (μB/f.u.) = 0.00
- raw total energy (eV/atom) = -5.724
- crystal system = tetragonal

---

No. 16
Compound: CuSiH2
Source: the Alexandria database
Functional: PBE
Structure: relaxed

Unit cell a=5.1802 b=5.1802 c=5.1802 alpha=90.00 beta=90.00 gamma=90.00
Atoms (fractional coordinates):
Cu: 0.0000 0.0000 0.0000
Cu: 0.0000 0.5000 0.5000
Cu: 0.5000 0.0000 0.5000
Cu: 0.5000 0.5000 0.0000
Si: 0.0000 0.0000 0.5000
Si: 0.0000 0.5000 0.0000
Si: 0.5000 0.0000 0.0000
Si: 0.5000 0.5000 0.5000
H: 0.2500 0.2500 0.2500
H: 0.2500 0.2500 0.7500
H: 0.2500 0.7500 0.2500
H: 0.2500 0.7500 0.7500
H: 0.7500 0.2500 0.2500
H: 0.7500 0.2500 0.7500
H: 0.7500 0.7500 0.2500
H: 0.7500 0.7500 0.7500

## Properties
- total magnetic moment (μB/f.u.) = 0.00
- raw total energy (eV/atom) = -3.274
- crystal system = cubic
- relative energy among the computed polymorphs (kJ per mole of atoms) = 20.3

---

No. 17
Compound: CuSiH2
Source: the Alexandria database
Functional: PBE
Structure: relaxed

Unit cell a=4.5209 b=4.5209 c=7.5446 alpha=90.00 beta=90.00 gamma=90.00
Atoms (fractional coordinates):
Cu: 0.0000 0.0000 0.0000
Cu: 0.0000 0.5000 0.2500
Cu: 0.5000 0.0000 0.7500
Cu: 0.5000 0.5000 0.5000
Si: 0.0000 0.0000 0.5000
Si: 0.0000 0.5000 0.7500
Si: 0.5000 0.0000 0.2500
Si: 0.5000 0.5000 0.0000
H: 0.1737 0.2500 0.1250
H: 0.2500 0.6737 0.3750
H: 0.2500 0.8263 0.8750
H: 0.3263 0.2500 0.6250
H: 0.6737 0.7500 0.6250
H: 0.7500 0.1737 0.8750
H: 0.7500 0.3263 0.3750
H: 0.8263 0.7500 0.1250

## Properties
- total magnetic moment (μB/f.u.) = 0.00
- raw total energy (eV/atom) = -3.484
- crystal system = tetragonal
- relative energy among the computed polymorphs (kJ per mole of atoms) = 0.0

---

No. 18
Compound: CuSi2H
Source: the Alexandria database
Functional: PBE
Structure: relaxed

Unit cell a=5.6543 b=5.6543 c=5.6543 alpha=90.00 beta=90.00 gamma=90.00
Atoms (fractional coordinates):
Cu: 0.0000 0.0000 0.0000
Cu: 0.0000 0.5000 0.5000
Cu: 0.5000 0.0000 0.5000
Cu: 0.5000 0.5000 0.0000
Si: 0.2500 0.2500 0.2500
Si: 0.2500 0.2500 0.7500
Si: 0.2500 0.7500 0.2500
Si: 0.2500 0.7500 0.7500
Si: 0.7500 0.2500 0.2500
Si: 0.7500 0.2500 0.7500
Si: 0.7500 0.7500 0.2500
Si: 0.7500 0.7500 0.7500
H: 0.0000 0.0000 0.5000
H: 0.0000 0.5000 0.0000
H: 0.5000 0.0000 0.0000
H: 0.5000 0.5000 0.5000

## Properties
- total magnetic moment (μB/f.u.) = 0.00
- raw total energy (eV/atom) = -4.103
- crystal system = cubic
- relative energy among the computed polymorphs (kJ per mole of atoms) = 0.0

---

No. 19
Compound: CuSiH3
Source: the Alexandria database
Functional: PBE
Structure: relaxed

Unit cell a=3.4750 b=3.4750 c=3.4750 alpha=90.00 beta=90.00 gamma=90.00
Atoms (fractional coordinates):
Cu: 0.0000 0.0000 0.0000
Si: 0.5000 0.5000 0.5000
H: 0.0000 0.0000 0.5000
H: 0.0000 0.5000 0.0000
H: 0.5000 0.0000 0.0000

## Properties
- total magnetic moment (μB/f.u.) = 0.00
- raw total energy (eV/atom) = -3.268
- crystal system = cubic
- relative energy among the computed polymorphs (kJ per mole of atoms) = 0.0

---

No. 20
Compound: CuSi2H8
Source: the Alexandria database
Functional: PBE
Structure: relaxed

Unit cell a=5.3115 b=5.3115 c=4.5137 alpha=91.24 beta=91.24 gamma=59.83
Atoms (fractional coordinates):
Cu: 0.0000 0.0000 0.0000
Si: 0.1996 0.1996 0.3838
Si: 0.8004 0.8004 0.6162
H: 0.1094 0.6601 0.7548
H: 0.1418 0.1418 0.7175
H: 0.3399 0.8906 0.2452
H: 0.3453 0.3453 0.2338
H: 0.6547 0.6547 0.7662
H: 0.6601 0.1094 0.7548
H: 0.8582 0.8582 0.2825
H: 0.8906 0.3399 0.2452

## Properties
- total magnetic moment (μB/f.u.) = 0.00
- raw total energy (eV/atom) = -3.553
- crystal system = monoclinic